Density functional theory data (PBE-GGA) for crystalline Cs2LiSn2Se4 at its relaxed geometry.

```
Cs2LiSn2Se4
1.0
-2.3960 4.2080 2.4352
4.2576 -4.8799 6.5897
4.5559 4.7813 -3.7794
Cs Li Sn Se
2 1 2 4
direct
0.8637 0.7274 0.3644
0.1363 0.2726 0.6356
0.0000 0.0000 0.0000
0.3807 0.7615 0.8817
0.6193 0.2385 0.1183
0.8357 0.6714 0.8366
0.1643 0.3286 0.1634
0.5002 0.0004 0.2542
0.4998 0.9996 0.7458
```

DOS(E_F)	3.5	states/eV per cell

Density functional theory data (PBE-GGA) for crystalline CsLiTb2Se4 at its relaxed geometry.

```
CsLiTb2Se4
1.0
-2.9875 1.8478 2.4132
3.1207 -5.4167 4.2477
10.0199 9.6846 4.9884
Cs Li Tb Se
2 2 4 8
direct
0.1064 0.2127 0.7500
0.8936 0.7873 0.2500
0.8272 0.6544 0.7500
0.1728 0.3456 0.2500
0.3660 0.7319 0.5606
0.6340 0.2681 0.0606
0.6340 0.2681 0.4394
0.3660 0.7319 0.9394
0.2590 0.5179 0.1033
0.7410 0.4821 0.6033
0.7410 0.4821 0.8967
0.2590 0.5179 0.3967
0.0000 0.0000 0.5000
0.0000 0.0000 0.0000
0.4150 0.8301 0.7500
0.5850 0.1699 0.2500
```

DOS(E_F)	0.0	states/eV per cell

Density functional theory data (PBE-GGA) for crystalline CsLiTe2Se4 at its relaxed geometry.

```
CsLiTe2Se4
1.0
-1.5317 -5.4308 -4.5296
5.3934 -3.3276 -3.6136
-2.3718 -6.3670 2.6563
Cs Li Te Se
1 1 2 4
direct
0.0000 0.0000 0.0000
0.0000 0.5000 0.5000
0.5000 0.7483 0.2517
0.5000 0.2517 0.7483
0.5953 0.5452 0.8636
0.4047 0.1364 0.4548
0.0041 0.4548 0.1364
0.9959 0.8636 0.5452
```

DOS(E_F)	2.0	states/eV per cell

Density functional theory data (PBE-GGA) for crystalline CsLiTeSe3 at its relaxed geometry.

```
CsLiTeSe3
1.0
7.6039 0.0000 0.0000
0.0000 7.4927 0.0000
0.0000 -3.7463 6.8227
Cs Li Te Se
2 2 2 6
direct
0.7500 0.2367 0.4734
0.2500 0.7633 0.5266
0.2500 0.0649 0.1298
0.7500 0.9351 0.8702
0.2500 0.4509 0.9018
0.7500 0.5491 0.0982
0.2500 0.2669 0.5339
0.0000 0.2310 0.0000
0.5000 0.7690 0.0000
0.5000 0.2310 0.0000
0.0000 0.7690 0.0000
0.7500 0.7331 0.4661
```

Density functional theory data (PBE-GGA) for crystalline CsLi2Th2Se6 at its relaxed geometry.

```
CsLi2Th2Se6
1.0
-1.0727 7.5698 -1.7375
-9.4742 3.4772 -2.7508
3.6009 0.4211 6.0228
Cs Li Th Se
1 2 2 6
direct
0.5000 0.0000 0.5000
0.0723 0.7534 0.7592
0.9277 0.2466 0.2408
0.8244 0.3332 0.8192
0.1756 0.6668 0.1808
0.4296 0.6166 0.8676
0.9830 0.5384 0.2892
0.1269 0.9762 0.7399
0.0170 0.4616 0.7108
0.8731 0.0238 0.2601
0.5704 0.3834 0.1324
```

DOS(E_F)	6.0	states/eV per cell

Density functional theory data (PBE-GGA) for crystalline CsLiThSe3 at its relaxed geometry.

```
CsLiThSe3
1.0
-0.4074 3.3203 2.8326
-7.4248 -0.8828 -3.4247
-2.8820 -7.2863 8.1263
Cs Li Th Se
2 2 2 6
direct
0.7397 0.4793 0.7500
0.2603 0.5207 0.2500
0.4638 0.9276 0.7500
0.5362 0.0724 0.2500
0.0000 0.0000 0.5000
0.0000 0.0000 0.0000
0.6166 0.2332 0.4466
0.3834 0.7668 0.5534
0.3834 0.7668 0.9466
0.6166 0.2332 0.0534
0.0504 0.1009 0.7500
0.9496 0.8991 0.2500
```

DOS(E_F)	0.0	states/eV per cell

| no. | formation energy from raw total energies (eV/atom) | magnetic moment (μB/f.u.) |
| --- | --- | --- |
| 1 | -0.838 | 0.0 |
| 2 | -1.701 | 0.0 |
| 3 | -0.431 | 0.0 |
| 4 | -0.636 | 0.0 |
| 5 | -1.372 | 0.0 |
| 6 | -1.601 | 0.0 |